Entry 1:
VASP calculation (PBE) on a relaxed structure of Sc2Ga3Pd4.

Cell: 7.8124 7.8124 7.6454 Å, 90.00 90.00 139.16°
Element x y z (fractional)
Sc (0.1069, 0.8931, 0.9143)
Sc (0.3931, 0.6069, 0.4143)
Sc (0.6069, 0.3931, 0.5857)
Sc (0.8931, 0.1069, 0.0857)
Ga (0.0000, 0.0000, 0.5000)
Ga (0.0157, 0.4843, 0.7500)
Ga (0.4843, 0.0157, 0.2500)
Ga (0.5000, 0.5000, 0.0000)
Ga (0.5157, 0.9843, 0.7500)
Ga (0.9843, 0.5157, 0.2500)
Pd (0.1806, 0.8194, 0.5189)
Pd (0.1914, 0.3086, 0.7500)
Pd (0.3086, 0.1914, 0.2500)
Pd (0.3194, 0.6806, 0.0189)
Pd (0.6806, 0.3194, 0.9811)
Pd (0.6914, 0.8086, 0.7500)
Pd (0.8086, 0.6914, 0.2500)
Pd (0.8194, 0.1806, 0.4811)

Output
The offset from the most stable computed form is 0.000 eV per atom. The value obtained for the energy of formation is -784 meV per atom. The calculation puts the total energy at -99.15 eV for the cell shown. For the total magnetization, the calculation gives 0.000 μB/atom.

***

Entry 2:
VASP calculation (PBE) on a relaxed structure of MnCd2Pb.

Cell: 10.5940 10.5940 10.5940 Å, 17.34 17.34 17.34°
Element x y z (fractional)
Mn (0.0000, 0.0000, 0.0000)
Cd (0.4903, 0.4903, 0.4903)
Cd (0.7371, 0.7371, 0.7371)
Pb (0.2540, 0.2540, 0.2540)

Output
The value obtained for the energy of formation is 285 meV per atom. The calculation puts the total energy at -13.57 eV for the cell shown. For the total magnetization, the calculation gives 0.919 μB/atom.

***

Entry 3:
VASP calculation (PBE) on a relaxed structure of CoRh2Se.

Cell: 4.6565 4.6565 4.6565 Å, 130.61 130.61 72.43°
Element x y z (fractional)
Co (0.0000, 0.0000, 0.0000)
Rh (0.2500, 0.7500, 0.5000)
Rh (0.5000, 0.5000, 0.0000)
Se (0.7500, 0.2500, 0.5000)

Output
The calculation puts the total energy at -24.38 eV for the cell shown. For the total magnetization, the calculation gives 0.649 μB/atom. As for the uncorrected formation energy: 88 kJ/mol of formula units.

***

Entry 4:
VASP calculation (PBE) on a relaxed structure of LiDyMg.

Cell: 3.4938 3.4952 12.1421 Å, 89.97 89.97 90.00°
Element x y z (fractional)
Li (0.0000, 0.0000, 0.0000)
Li (0.4988, 0.5002, 0.8638)
Dy (0.9997, 0.9997, 0.3297)
Dy (0.4989, 0.4998, 0.5343)
Mg (0.4994, 0.4993, 0.1403)
Mg (0.9984, 0.9996, 0.7240)

Output
The offset from the most stable computed form is 0.000 eV per atom. The value obtained for the energy of formation is -33 meV per atom. The calculation puts the total energy at -16.42 eV for the cell shown. For the total magnetization, the calculation gives 0.000 μB/atom.

***

Entry 5:
VASP calculation (PBE) on a relaxed structure of RbCo2Ru.

Cell: 4.5733 4.5733 4.5733 Å, 60.00 60.00 60.00°
Element x y z (fractional)
Rb (0.0000, 0.0000, 0.0000)
Co (0.2500, 0.2500, 0.2500)
Co (0.7500, 0.7500, 0.7500)
Ru (0.5000, 0.5000, 0.5000)

Output
The offset from the most stable computed form is 0.189 eV per atom. The value obtained for the energy of formation is 1531 meV per atom. The calculation puts the total energy at -18.33 eV for the cell shown. For the total magnetization, the calculation gives 1.183 μB/atom.

***

Entry 6:
VASP calculation (PBE) on a relaxed structure of Pr3GaNi3.

Cell: 5.6230 5.6230 13.5787 Å, 90.00 90.00 136.68°
Element x y z (fractional)
Pr (0.0014, 0.9986, 0.7500)
Pr (0.2807, 0.7193, 0.1040)
Pr (0.2807, 0.7193, 0.3960)
Pr (0.7193, 0.2807, 0.6040)
Pr (0.7193, 0.2807, 0.8960)
Pr (0.9986, 0.0014, 0.2500)
Ga (0.0000, 0.0000, 0.0000)
Ga (0.0000, 0.0000, 0.5000)
Ni (0.3044, 0.6956, 0.7500)
Ni (0.4296, 0.5704, 0.5879)
Ni (0.4296, 0.5704, 0.9121)
Ni (0.5704, 0.4296, 0.0879)
Ni (0.5704, 0.4296, 0.4121)
Ni (0.6956, 0.3044, 0.2500)

Output
The offset from the most stable computed form is 0.000 eV per atom. The value obtained for the energy of formation is -407 meV per atom. The calculation puts the total energy at -75.12 eV for the cell shown. For the total magnetization, the calculation gives 0.000 μB/atom.